Here is a geometry-optimized KDyMoO5 structure from Alexandria. Energies are from PBE with a Hubbard U.

Results
The value obtained for the total energy is -6.988 eV/atom. The calculation puts the total magnetic moment at 0.000 μB/f.u. As for the theoretical density: 4292 kg/m3.

Cell: 7.7515 10.1644 8.1270 Å, 90.00 114.17 90.00°
With the nearest neighbours (Å) after each atom.
Space group C2/c (No. 15)
Inequivalent atoms, fractional coordinates:
K 0.0000 0.1821 0.2500 (multiplicity 4)  1 O 2.54
Dy 0.0000 0.5000 0.0000 (multiplicity 4)  6 O 2.15-2.39
Mo 0.0000 0.1813 0.7500 (multiplicity 4)  4 O 1.80
O 0.0000 0.4318 0.2500 (multiplicity 4)  2 Dy 2.15
O 0.0893 0.2843 0.6217 (multiplicity 8)  1 Mo 1.80
O 0.1827 0.0762 0.9007 (multiplicity 8)  1 Mo 1.80